(1)
Entry from Alexandria: a relaxed SrCrPt crystal (PBE).

```
12
Lattice="6.774 0.000 0.000 0.000 5.715 0.000 -0.023 0.000 7.129" Properties=species:S:1:pos:R:3 pbc="T T T"
Sr 1.612 0.000 1.126
Sr 1.752 2.857 6.003
Sr 4.999 2.857 1.126
Sr 5.139 0.000 6.003
Cr -0.011 1.741 3.564
Cr -0.011 3.974 3.564
Cr 3.376 1.117 3.564
Cr 3.376 4.598 3.564
Pt 1.380 0.000 4.690
Pt 1.985 2.857 2.439
Pt 4.767 2.857 4.690
Pt 5.372 0.000 2.439
```

Results
ρ ... 8.1 Mg/m³
DOS(E_F) ... 12.5 states/eV per cell
SG ... C2/m
Formation energy from the elements ... -0.09 eV/atom

***

(2)
Entry from Alexandria: a relaxed SrCr3Pt crystal (PBE).

```
5
Lattice="5.025 0.000 0.000 0.000 5.025 0.000 0.000 0.000 5.025" Properties=species:S:1:pos:R:3 pbc="T T T"
Sr 0.000 0.000 0.000
Cr 0.000 2.513 2.513
Cr 2.513 0.000 2.513
Cr 2.513 2.513 0.000
Pt 2.513 2.513 2.513
```

Results
ρ ... 5.7 Mg/m³
DOS(E_F) ... 8.6 states/eV per cell
SG ... Pm-3m
Formation energy from the elements ... 0.75 eV/atom

***

(3)
Entry from Alexandria: a relaxed Sr2CrPt crystal (PBE).

```
12
Lattice="4.417 0.000 0.000 -2.209 3.825 0.000 0.000 0.000 23.992" Properties=species:S:1:pos:R:3 pbc="T T T"
Sr 0.000 0.000 0.000
Sr 0.000 0.000 4.225
Sr 0.000 2.550 15.995
Sr 0.000 2.550 20.220
Sr 2.209 1.275 7.997
Sr 2.209 1.275 12.223
Cr 0.000 0.000 10.108
Cr 0.000 2.550 2.111
Cr 2.209 1.275 18.105
Pt 0.000 0.000 18.113
Pt 0.000 2.550 10.115
Pt 2.209 1.275 2.118
```

Results
ρ ... 5.2 Mg/m³
DOS(E_F) ... 5.1 states/eV per cell
SG ... R3m
Formation energy from the elements ... -0.22 eV/atom